Crystalline CsTe2HI at its relaxed geometry, computed with PBE-GGA.

Properties
Final energy = -12.47 eV/cell
Energy above the most stable polymorph in this dataset = 0 meV/atom
Calculated volume = 37.0 A^3/atom
DOS at the Fermi energy = 0.91 states/eV per atom

abc: 4.7822 4.7822 8.0886
angles: 90.00 90.00 90.00
Space group P4/mmm (No. 123)
One atom of each set of equivalent atoms:
Cs  0.0000  0.0000  0.0000 (multiplicity 1)
Te  0.0000  0.5000  0.5000 (multiplicity 2)
H  0.5000  0.5000  0.5000 (multiplicity 1)
I  0.5000  0.5000  0.0000 (multiplicity 1)